{"formula": "MgTi3N", "functional": "PBE", "state": "optimized geometry", "sg": "Pm-3m, No. 221", "raw_formation_energy_ev_per_atom": -0.697, "lattice": [[4.1953, 0.0000, 0.0000], [0.0000, 4.1953, 0.0000], [0.0000, 0.0000, 4.1953]], "species": ["Mg", "Ti", "Ti", "Ti", "N"], "frac_coords": [[0.0000, 0.0000, 0.0000], [0.0000, 0.5000, 0.5000], [0.5000, 0.0000, 0.5000], [0.5000, 0.5000, 0.0000], [0.5000, 0.5000, 0.5000]]}

{"formula": "TaGa3Ag", "functional": "PBE", "state": "optimized geometry", "formation_energy_ev_per_atom": 1.09, "sg": "Pm-3m, No. 221", "lattice": [[4.7926, 0.0000, 0.0000], [0.0000, 4.7926, 0.0000], [0.0000, 0.0000, 4.7926]], "species": ["Ta", "Ga", "Ga", "Ga", "Ag"], "frac_coords": [[0.0000, 0.0000, 0.0000], [0.0000, 0.5000, 0.5000], [0.5000, 0.0000, 0.5000], [0.5000, 0.5000, 0.0000], [0.5000, 0.5000, 0.5000]]}

no.,size of the total moment (μB/cell)
1,0.0
2,1.1